Material: K2FeOF5
Method: DFT, PBE+U
State: relaxed

Geometry as POSCAR:
```
K2FeOF5
1.0
5.899 -0.608 -0.244
0.469 5.912 -0.244
0.374 0.311 8.167
O F K Fe
2 10 4 2
direct
0.963 0.037 0.250
0.037 0.963 0.750
0.025 0.533 0.749
0.975 0.467 0.251
0.246 0.755 0.526
0.245 0.754 0.974
0.467 0.975 0.751
0.754 0.245 0.474
0.540 0.460 0.250
0.755 0.246 0.026
0.533 0.025 0.249
0.460 0.540 0.750
0.263 0.263 0.500
0.263 0.263 0.000
0.737 0.737 0.000
0.737 0.737 0.500
0.233 0.767 0.750
0.767 0.233 0.250
```

As for the total energy: -4.52 eV per atom. As for the crystal system: monoclinic. As for the space-group type: C2/c, No. 15. The value obtained for the volume is 16.01 A^3/atom.